VASP calculation (GGA-PBE) on a relaxed Pm4Er5Sc crystal.

Output
- E_tot (eV/atom) = -4.62
- formation enthalpy at 0 K (kcal/mol of atoms) = 4.4
- SG = P-1, No. 2
- size of the total moment (μB per cell) = 0.00
- energy above the lowest structure with this stoichiometry (meV/atom) = 0

Cell lengths 3.486, 11.049, 8.655 Å; angles 88.85, 101.25, 90.08 degrees
Positions (direct):
1 Pm 0.647 0.252 0.319
2 Pm 0.972 0.244 0.944
3 Pm 0.353 0.748 0.681
4 Pm 0.028 0.756 0.056
5 Er 0.171 0.555 0.346
6 Er 0.166 0.954 0.340
7 Er 0.834 0.046 0.660
8 Er 0.500 0.500 0.000
9 Er 0.829 0.445 0.654
10 Sc 0.500 0.000 0.000



VASP calculation (GGA-PBE) on a relaxed Pm3Y2Zn3 crystal.

Output
- E_tot (eV/atom) = -4.11
- formation enthalpy at 0 K (kcal/mol of atoms) = -5.4
- SG = Immm, No. 71
- size of the total moment (μB per cell) = 0.00

Cell lengths 3.676, 5.300, 11.331 Å; angles 103.52, 99.33, 90.00 degrees
Positions (direct):
1 Pm 0.382 0.382 0.763
2 Pm 0.618 0.618 0.237
3 Pm 0.500 0.000 0.000
4 Y 0.271 0.771 0.542
5 Y 0.729 0.229 0.458
6 Zn 0.882 0.882 0.765
7 Zn 0.000 0.500 0.000
8 Zn 0.118 0.118 0.235



VASP calculation (GGA-PBE) on a relaxed Ba2MgHg3Ge4 crystal.

Output
- E_tot (eV/atom) = -2.82
- formation enthalpy at 0 K (kcal/mol of atoms) = -7.8
- SG = P-4m2, No. 115
- size of the total moment (μB per cell) = 0.00

Cell lengths 4.721, 4.721, 11.706 Å; angles 90.00, 90.00, 90.00 degrees
Positions (direct):
1 Ba 0.500 0.000 0.248
2 Ba 0.000 0.500 0.752
3 Mg 0.500 0.500 0.500
4 Hg 0.000 0.000 0.500
5 Hg 0.500 0.000 0.866
6 Hg 0.000 0.500 0.134
7 Ge 0.500 0.500 0.000
8 Ge 0.000 0.000 0.000
9 Ge 0.500 0.000 0.633
10 Ge 0.000 0.500 0.367